1.
{"formula": "SrSbIr2", "functional": "GGA-PBE", "state": "relaxed", "cell": [[4.417, 0.000, 0.000], [-2.208, 3.825, 0.000], [0.000, 0.000, 17.251]], "species": ["Sr", "Sr", "Sr", "Sb", "Sb", "Sb", "Ir", "Ir", "Ir", "Ir", "Ir", "Ir"], "frac_coords": [[0.000, 0.000, 0.000], [0.333, 0.667, 0.667], [0.667, 0.333, 0.333], [0.000, 0.000, 0.198], [0.333, 0.667, 0.865], [0.667, 0.333, 0.531], [0.000, 0.000, 0.459], [0.000, 0.000, 0.792], [0.333, 0.667, 0.126], [0.333, 0.667, 0.459], [0.667, 0.333, 0.125], [0.667, 0.333, 0.793]], "spacegroup": "R3m (160)", "vol_a3_per_atom": 24.3, "raw_formation_energy_ev_per_atom": -0.312, "final_energy_ev_per_cell": -74.3, "magnetic_moment_mub_per_cell": 0.00}

=====

2.
{"formula": "LiTbPmCu", "functional": "GGA-PBE", "state": "relaxed", "cell": [[7.221, 0.000, 0.000], [0.000, 7.221, 0.000], [0.000, 0.000, 7.221]], "species": ["Li", "Li", "Li", "Li", "Tb", "Tb", "Tb", "Tb", "Pm", "Pm", "Pm", "Pm", "Cu", "Cu", "Cu", "Cu"], "frac_coords": [[0.000, 0.000, 0.000], [0.000, 0.500, 0.500], [0.500, 0.000, 0.500], [0.500, 0.500, 0.000], [0.250, 0.250, 0.250], [0.250, 0.750, 0.750], [0.750, 0.250, 0.750], [0.750, 0.750, 0.250], [0.250, 0.250, 0.750], [0.250, 0.750, 0.250], [0.750, 0.250, 0.250], [0.750, 0.750, 0.750], [0.000, 0.000, 0.500], [0.000, 0.500, 0.000], [0.500, 0.000, 0.000], [0.500, 0.500, 0.500]], "ef_ev_per_atom": -0.006, "spacegroup": "F-43m (216)", "vol_a3_per_atom": 23.5, "final_energy_ev_per_cell": -61.7, "magnetic_moment_mub_per_cell": 0.01}

=====

3.
{"formula": "SmHoMgAg", "functional": "GGA-PBE", "state": "relaxed", "cell": [[7.471, 0.000, 0.000], [0.000, 7.471, 0.000], [0.000, 0.000, 7.471]], "species": ["Sm", "Sm", "Sm", "Sm", "Ho", "Ho", "Ho", "Ho", "Mg", "Mg", "Mg", "Mg", "Ag", "Ag", "Ag", "Ag"], "frac_coords": [[0.000, 0.000, 0.000], [0.000, 0.500, 0.500], [0.500, 0.000, 0.500], [0.500, 0.500, 0.000], [0.000, 0.000, 0.500], [0.000, 0.500, 0.000], [0.500, 0.000, 0.000], [0.500, 0.500, 0.500], [0.250, 0.250, 0.250], [0.250, 0.750, 0.750], [0.750, 0.250, 0.750], [0.750, 0.750, 0.250], [0.250, 0.250, 0.750], [0.250, 0.750, 0.250], [0.750, 0.250, 0.250], [0.750, 0.750, 0.750]], "ef_ev_per_atom": -0.141, "spacegroup": "F-43m (216)", "vol_a3_per_atom": 26.1, "polymorph_energy_mev_per_atom": 44, "final_energy_ev_per_cell": -57.2, "magnetic_moment_mub_per_cell": 0.00}

=====

4.
{"formula": "PIrBr2", "functional": "GGA-PBE", "state": "relaxed", "cell": [[5.578, 0.000, 0.000], [0.000, 5.578, 0.000], [0.000, 0.000, 5.040]], "species": ["P", "P", "Ir", "Ir", "Br", "Br", "Br", "Br"], "frac_coords": [[0.000, 0.000, 0.000], [0.500, 0.500, 0.500], [0.000, 0.000, 0.500], [0.500, 0.500, 0.000], [0.000, 0.500, 0.000], [0.000, 0.500, 0.500], [0.500, 0.000, 0.000], [0.500, 0.000, 0.500]], "spacegroup": "I4/mmm (139)", "vol_a3_per_atom": 19.6, "polymorph_energy_mev_per_atom": 1300, "raw_formation_energy_ev_per_atom": 0.865, "final_energy_ev_per_cell": -28.3, "magnetic_moment_mub_per_cell": 0.00}

=====

5.
{"formula": "Np4Ga12Hg", "functional": "GGA-PBE", "state": "relaxed", "cell": [[-4.367, 4.367, 4.367], [4.367, -4.367, 4.367], [4.367, 4.367, -4.367]], "species": ["Np", "Np", "Np", "Np", "Ga", "Ga", "Ga", "Ga", "Ga", "Ga", "Ga", "Ga", "Ga", "Ga", "Ga", "Ga", "Hg"], "frac_coords": [[0.000, 0.000, 0.500], [0.000, 0.500, 0.000], [0.500, 0.000, 0.000], [0.500, 0.500, 0.500], [0.000, 0.309, 0.309], [0.000, 0.691, 0.691], [0.250, 0.500, 0.750], [0.250, 0.750, 0.500], [0.309, 0.000, 0.309], [0.309, 0.309, 0.000], [0.500, 0.250, 0.750], [0.500, 0.750, 0.250], [0.691, 0.000, 0.691], [0.691, 0.691, 0.000], [0.750, 0.250, 0.500], [0.750, 0.500, 0.250], [0.000, 0.000, 0.000]], "ef_ev_per_atom": -0.154, "spacegroup": "Im-3m (229)", "vol_a3_per_atom": 19.6, "final_energy_ev_per_cell": -91.0, "magnetic_moment_mub_per_cell": 16.23}

=====

6.
{"formula": "KLiInB2", "functional": "GGA-PBE", "state": "relaxed", "cell": [[4.602, 0.000, 0.000], [0.000, 4.602, 0.000], [0.000, 0.000, 5.149]], "species": ["K", "Li", "In", "B", "B"], "frac_coords": [[0.000, 0.000, 0.000], [0.500, 0.500, 0.000], [0.500, 0.500, 0.500], [0.000, 0.500, 0.500], [0.500, 0.000, 0.500]], "ef_ev_per_atom": 1.230, "spacegroup": "P4/mmm (123)", "vol_a3_per_atom": 21.8, "final_energy_ev_per_cell": -13.0, "magnetic_moment_mub_per_cell": 0.00}

=====

7.
{"formula": "CdRe2NiH", "functional": "GGA-PBE", "state": "relaxed", "cell": [[3.799, 0.000, 0.000], [0.000, 3.799, 0.000], [0.000, 0.000, 4.455]], "species": ["Cd", "Re", "Re", "Ni", "H"], "frac_coords": [[0.000, 0.000, 0.000], [0.000, 0.500, 0.500], [0.500, 0.000, 0.500], [0.500, 0.500, 0.000], [0.000, 0.000, 0.500]], "spacegroup": "P4/mmm (123)", "vol_a3_per_atom": 12.9, "final_energy_ev_per_cell": -32.0, "magnetic_moment_mub_per_cell": 0.00}

=====

8.
{"formula": "Sr3GeBr8", "functional": "GGA-PBE", "state": "relaxed", "cell": [[4.263, -6.641, 0.000], [4.263, 6.641, 0.000], [0.000, 0.000, 8.690]], "species": ["Sr", "Sr", "Sr", "Ge", "Br", "Br", "Br", "Br", "Br", "Br", "Br", "Br"], "frac_coords": [[0.000, 0.000, 0.000], [0.000, 0.500, 0.745], [0.500, 0.000, 0.255], [0.000, 0.000, 0.500], [0.214, 0.786, 0.500], [0.218, 0.254, 0.734], [0.231, 0.769, 0.000], [0.254, 0.218, 0.266], [0.746, 0.782, 0.266], [0.769, 0.231, 0.000], [0.782, 0.746, 0.734], [0.786, 0.214, 0.500]], "spacegroup": "C222 (21)", "vol_a3_per_atom": 41.0, "raw_formation_energy_ev_per_atom": -1.711, "final_energy_ev_per_cell": -43.6, "magnetic_moment_mub_per_cell": 0.00}

=====

9.
{"formula": "ScTl4Ni", "functional": "GGA-PBE", "state": "relaxed", "cell": [[0.000, 4.327, 4.327], [4.327, 0.000, 4.327], [4.327, 4.327, 0.000]], "species": ["Sc", "Tl", "Tl", "Tl", "Tl", "Ni"], "frac_coords": [[0.000, 0.000, 0.000], [0.126, 0.625, 0.625], [0.625, 0.126, 0.625], [0.625, 0.625, 0.126], [0.625, 0.625, 0.625], [0.250, 0.250, 0.250]], "ef_ev_per_atom": 0.596, "spacegroup": "F-43m (216)", "vol_a3_per_atom": 27.0, "final_energy_ev_per_cell": -18.0, "magnetic_moment_mub_per_cell": 0.00}

=====

10.
{"formula": "PrPu2N3", "functional": "GGA-PBE", "state": "relaxed", "cell": [[3.528, 0.000, 0.000], [0.000, 5.053, 0.000], [0.000, 0.000, 10.622]], "species": ["Pr", "Pr", "Pu", "Pu", "Pu", "Pu", "N", "N", "N", "N", "N", "N"], "frac_coords": [[0.000, 0.000, 0.000], [0.500, 0.500, 0.500], [0.000, 0.000, 0.334], [0.000, 0.000, 0.666], [0.500, 0.500, 0.166], [0.500, 0.500, 0.834], [0.000, 0.500, 0.000], [0.000, 0.500, 0.315], [0.000, 0.500, 0.685], [0.500, 0.000, 0.185], [0.500, 0.000, 0.500], [0.500, 0.000, 0.815]], "spacegroup": "Immm (71)", "vol_a3_per_atom": 15.8, "polymorph_energy_mev_per_atom": 0, "raw_formation_energy_ev_per_atom": -1.265, "final_energy_ev_per_cell": -132.0, "magnetic_moment_mub_per_cell": 18.91}

=====

11.
{"formula": "LiMg6B", "functional": "GGA-PBE", "state": "relaxed", "cell": [[3.627, 0.000, 0.000], [0.000, 8.755, 0.000], [0.000, 0.000, 9.967]], "species": ["Li", "Li", "Mg", "Mg", "Mg", "Mg", "Mg", "Mg", "Mg", "Mg", "Mg", "Mg", "Mg", "Mg", "B", "B"], "frac_coords": [[0.000, 0.000, 0.000], [0.000, 0.500, 0.500], [0.000, 0.000, 0.526], [0.000, 0.169, 0.249], [0.000, 0.331, 0.749], [0.000, 0.500, 0.026], [0.000, 0.669, 0.749], [0.000, 0.831, 0.249], [0.500, 0.000, 0.764], [0.500, 0.232, 0.011], [0.500, 0.268, 0.511], [0.500, 0.500, 0.264], [0.500, 0.732, 0.511], [0.500, 0.768, 0.011], [0.500, 0.000, 0.150], [0.500, 0.500, 0.650]], "ef_ev_per_atom": 0.212, "spacegroup": "Amm2 (38)", "vol_a3_per_atom": 19.8, "polymorph_energy_mev_per_atom": 0, "final_energy_ev_per_cell": -32.9, "magnetic_moment_mub_per_cell": 0.00}

=====

12.
{"formula": "MnIrI", "functional": "GGA-PBE", "state": "relaxed", "cell": [[10.732, 0.000, 0.000], [0.000, 3.635, 0.000], [0.000, 0.000, 6.565]], "species": ["Mn", "Mn", "Mn", "Mn", "Ir", "Ir", "Ir", "Ir", "I", "I", "I", "I"], "frac_coords": [[0.000, 0.000, 0.000], [0.000, 0.500, 0.500], [0.500, 0.000, 0.103], [0.500, 0.500, 0.603], [0.120, 0.000, 0.325], [0.120, 0.500, 0.825], [0.880, 0.000, 0.325], [0.880, 0.500, 0.825], [0.321, 0.000, 0.793], [0.321, 0.500, 0.293], [0.679, 0.000, 0.793], [0.679, 0.500, 0.293]], "spacegroup": "Amm2 (38)", "vol_a3_per_atom": 21.3, "raw_formation_energy_ev_per_atom": 0.548, "final_energy_ev_per_cell": -71.7, "magnetic_moment_mub_per_cell": 13.64}

=====

Copy entry 10 word for word.
{"formula": "PrPu2N3", "functional": "GGA-PBE", "state": "relaxed", "cell": [[3.528, 0.000, 0.000], [0.000, 5.053, 0.000], [0.000, 0.000, 10.622]], "species": ["Pr", "Pr", "Pu", "Pu", "Pu", "Pu", "N", "N", "N", "N", "N", "N"], "frac_coords": [[0.000, 0.000, 0.000], [0.500, 0.500, 0.500], [0.000, 0.000, 0.334], [0.000, 0.000, 0.666], [0.500, 0.500, 0.166], [0.500, 0.500, 0.834], [0.000, 0.500, 0.000], [0.000, 0.500, 0.315], [0.000, 0.500, 0.685], [0.500, 0.000, 0.185], [0.500, 0.000, 0.500], [0.500, 0.000, 0.815]], "spacegroup": "Immm (71)", "vol_a3_per_atom": 15.8, "polymorph_energy_mev_per_atom": 0, "raw_formation_energy_ev_per_atom": -1.265, "final_energy_ev_per_cell": -132.0, "magnetic_moment_mub_per_cell": 18.91}

=====

Repeat the eleventh record exactly.
{"formula": "LiMg6B", "functional": "GGA-PBE", "state": "relaxed", "cell": [[3.627, 0.000, 0.000], [0.000, 8.755, 0.000], [0.000, 0.000, 9.967]], "species": ["Li", "Li", "Mg", "Mg", "Mg", "Mg", "Mg", "Mg", "Mg", "Mg", "Mg", "Mg", "Mg", "Mg", "B", "B"], "frac_coords": [[0.000, 0.000, 0.000], [0.000, 0.500, 0.500], [0.000, 0.000, 0.526], [0.000, 0.169, 0.249], [0.000, 0.331, 0.749], [0.000, 0.500, 0.026], [0.000, 0.669, 0.749], [0.000, 0.831, 0.249], [0.500, 0.000, 0.764], [0.500, 0.232, 0.011], [0.500, 0.268, 0.511], [0.500, 0.500, 0.264], [0.500, 0.732, 0.511], [0.500, 0.768, 0.011], [0.500, 0.000, 0.150], [0.500, 0.500, 0.650]], "ef_ev_per_atom": 0.212, "spacegroup": "Amm2 (38)", "vol_a3_per_atom": 19.8, "polymorph_energy_mev_per_atom": 0, "final_energy_ev_per_cell": -32.9, "magnetic_moment_mub_per_cell": 0.00}

=====

> Number 9 is which compound?

ScTl4Ni